Entry 1:
The following is a DFT calculation (PBE) of crystalline FeCuIr2 at its relaxed geometry.

The magnetization is 2.68 μB/f.u. As for the raw total energy: -30.021 eV/cell. Its density of states at the Fermi level is 4.37 states/eV per cell. As for the space group: I4/mmm. The calculation puts the calculated formation energy at 0.065 eV/atom.

abc: 4.4984 4.4984 4.4984
angles: 129.26 129.26 74.59
Closest atoms and distances in Å follow each position.
Atoms (fractional coordinates):
1 Ir 0.0000 0.0000 0.0000  4 Cu 2.63, 4 Fe 2.63, 4 Ir 2.73
2 Fe 0.7500 0.2500 0.5000  8 Ir 2.63, 4 Cu 2.73
3 Ir 0.5000 0.5000 0.0000  4 Fe 2.63, 4 Cu 2.63, 4 Ir 2.73
4 Cu 0.2500 0.7500 0.5000  8 Ir 2.63, 4 Fe 2.73

Entry 2:
The following is a DFT calculation (PBE) of crystalline FeCuIr2 at its relaxed geometry.

The magnetization is 2.91 μB/f.u. As for the raw total energy: -29.970 eV/cell. Its density of states at the Fermi level is 4.65 states/eV per cell. As for the space group: Cm. The calculation puts the calculated formation energy at 0.078 eV/atom.

abc: 4.6485 4.6485 4.5308
angles: 80.40 80.40 33.88
Closest atoms and distances in Å follow each position.
Atoms (fractional coordinates):
1 Fe 0.2524 0.2524 0.2567  3 Cu 2.60-2.68, 7 Ir 2.64-2.71, 2 Fe 2.71
2 Ir 0.7465 0.7465 0.7597  5 Ir 2.63-2.71, 4 Fe 2.64, 3 Cu 2.69-2.73
3 Cu 0.4997 0.4997 0.4903  3 Fe 2.60-2.68, 7 Ir 2.63-2.73, 2 Cu 2.71
4 Ir 0.0014 0.0014 0.9933  4 Cu 2.63-2.65, 5 Ir 2.63-2.71, 3 Fe 2.69-2.71

Entry 3:
The following is a DFT calculation (PBE) of crystalline Fe2CuIr at its relaxed geometry.

The magnetization is 6.46 μB/f.u. As for the raw total energy: -29.183 eV/cell. Its density of states at the Fermi level is 3.36 states/eV per cell. As for the space group: Cmmm. The calculation puts the calculated formation energy at 0.175 eV/atom.

abc: 2.5986 2.5986 8.5423
angles: 90.00 90.00 114.15
Closest atoms and distances in Å follow each position.
Atoms (fractional coordinates):
1 Cu 0.5000 0.5000 0.7500  4 Fe 2.52, 4 Cu 2.60
2 Ir 0.5000 0.5000 0.2500  6 Ir 2.60-2.82, 4 Fe 2.60
3 Fe 0.0000 0.0000 0.5058  2 Cu 2.52, 4 Fe 2.60, 2 Ir 2.60
4 Fe 0.0000 0.0000 0.9942  2 Cu 2.52, 4 Fe 2.60, 2 Ir 2.60

Entry 4:
The following is a DFT calculation (PBE) of crystalline FeCu3Ir at its relaxed geometry.

The magnetization is 3.72 μB/f.u. As for the raw total energy: -22.776 eV/cell. Its density of states at the Fermi level is 5.57 states/eV per cell. As for the space group: Pm-3m. The calculation puts the calculated formation energy at 1.367 eV/atom.

abc: 4.2771 4.2771 4.2771
angles: 90.00 90.00 90.00
Closest atoms and distances in Å follow each position.
Atoms (fractional coordinates):
1 Cu 0.5000 0.0000 0.0000  2 Fe 2.14
2 Cu 0.0000 0.0000 0.5000  2 Fe 2.14
3 Fe 0.0000 0.0000 0.0000  6 Cu 2.14
4 Ir 0.5000 0.5000 0.5000  12 Cu 3.02
5 Cu 0.0000 0.5000 0.0000  2 Fe 2.14

Entry 5:
The following is a DFT calculation (PBE) of crystalline Fe2CuIr at its relaxed geometry.

The magnetization is 5.86 μB/f.u. As for the raw total energy: -29.579 eV/cell. Its density of states at the Fermi level is 5.28 states/eV per cell. As for the space group: I-4m2. The calculation puts the calculated formation energy at 0.076 eV/atom.

abc: 4.5151 4.5151 4.5151
angles: 131.39 131.39 71.20
Closest atoms and distances in Å follow each position.
Atoms (fractional coordinates):
1 Fe 0.2500 0.7500 0.5000  4 Ir 2.61, 4 Fe 2.61, 4 Cu 2.63
2 Cu 0.7500 0.2500 0.5000  8 Fe 2.61-2.63, 4 Ir 2.61
3 Fe 0.0000 0.0000 0.0000  4 Cu 2.61, 4 Fe 2.61, 4 Ir 2.63
4 Ir 0.5000 0.5000 0.0000  8 Fe 2.61-2.63, 4 Cu 2.61

Entry 6:
The following is a DFT calculation (PBE) of crystalline LaFe2CuIr at its relaxed geometry.

The magnetization is 4.45 μB/f.u. As for the raw total energy: -25.409 eV/cell. Its density of states at the Fermi level is 6.43 states/eV per cell. As for the space group: P4/mmm. The calculation puts the calculated formation energy at 1.880 eV/atom.

abc: 4.6009 4.9735 4.6009
angles: 90.00 90.00 90.00
Closest atoms and distances in Å follow each position.
Atoms (fractional coordinates):
1 Cu 0.5000 0.5000 0.5000  4 Ir 3.25, 8 Fe 3.39
2 Fe 0.5000 0.0000 0.0000  2 La 2.30
3 La 0.0000 0.0000 0.0000  4 Fe 2.30, 2 Ir 2.49
4 Fe 0.0000 0.0000 0.5000  2 La 2.30
5 Ir 0.0000 0.5000 0.0000  2 La 2.49

Entry 7:
The following is a DFT calculation (PBE) of crystalline Li2FeCuIr at its relaxed geometry.

The magnetization is 3.88 μB/f.u. As for the raw total energy: -20.136 eV/cell. Its density of states at the Fermi level is 3.12 states/eV per cell. As for the space group: P4/mmm. The calculation puts the calculated formation energy at 1.022 eV/atom.

abc: 4.4502 4.6803 4.4502
angles: 90.00 90.00 90.00
Closest atoms and distances in Å follow each position.
Atoms (fractional coordinates):
1 Li 0.0000 0.0000 0.5000  2 Ir 2.23
2 Ir 0.0000 0.0000 0.0000  4 Li 2.23, 2 Cu 2.34
3 Fe 0.5000 0.5000 0.5000  4 Cu 3.15, 8 Li 3.23
4 Li 0.5000 0.0000 0.0000  2 Ir 2.23
5 Cu 0.0000 0.5000 0.0000  2 Ir 2.34

Entry 8:
The following is a DFT calculation (PBE) of crystalline FeCuNiIr at its relaxed geometry.

The magnetization is 4.27 μB/f.u. As for the raw total energy: -26.996 eV/cell. Its density of states at the Fermi level is 1.83 states/eV per cell. As for the space group: F-43m. The calculation puts the calculated formation energy at 0.051 eV/atom.

abc: 4.1459 4.1459 4.1459
angles: 60.00 60.00 60.00
Closest atoms and distances in Å follow each position.
Atoms (fractional coordinates):
1 Cu 0.5000 0.5000 0.5000  4 Ir 2.54, 4 Ni 2.54
2 Ni 0.2500 0.2500 0.2500  4 Cu 2.54, 4 Fe 2.54
3 Fe 0.0000 0.0000 0.0000  4 Ni 2.54, 4 Ir 2.54
4 Ir 0.7500 0.7500 0.7500  4 Fe 2.54, 4 Cu 2.54